The following is a GGA+U calculation of MnFe3P4O16 after structural relaxation, from the Alexandria database.

Summary:
Total magnetization, μB per formula unit: 1.000
DFT total energy, eV per atom: -6.975
Calculated density, g/cm3: 3.7

a = 4.7795 Å, b = 5.8082 Å, c = 9.7814 Å
α = 90.00°, β = 90.35°, γ = 90.00°
Closest atoms and distances in Å follow each position.
Space group Pm (No. 6)
Symmetry-distinct sites (fractional):
1 Mn 0.0000 0.0000 0.0000  4 O 1.88-2.02
2 Fe 0.1149 0.5000 0.5527  6 O 1.93-2.08
3 Fe 0.5122 0.5000 0.0586  6 O 1.92-2.14
4 Fe 0.6262 0.0000 0.5111  6 O 1.91-2.14
5 P 0.1808 0.0000 0.6912  4 O 1.52-1.58
6 P 0.4742 0.0000 0.1859  4 O 1.53-1.57
7 P 0.6787 0.5000 0.3737  4 O 1.52-1.60
8 P 0.9620 0.5000 0.8725  4 O 1.53-1.58
9 O 0.2426 0.0000 0.8453  1 P 1.53
10 O 0.2784 0.5000 0.8980  1 P 1.53
11 O 0.3256 0.2099 0.1150  1 P 1.57
12 O 0.3305 0.2088 0.6180  1 P 1.58
13 O 0.3636 0.5000 0.3965  1 P 1.52
14 O 0.4244 0.0000 0.3401  1 P 1.53
15 O 0.7455 0.5000 0.2211  1 P 1.53
16 O 0.7927 0.0000 0.1633  1 P 1.54
17 O 0.8051 0.2959 0.9461  1 P 1.58
18 O 0.8387 0.2966 0.4514  1 P 1.60
19 O 0.8659 0.0000 0.6685  1 P 1.52
20 O 0.8992 0.5000 0.7187  1 P 1.53